## KCa2BiO4 (PBE)

Data for a relaxed structure of KCa2BiO4.

Results
**E_tot**: -5.655 eV per atom
**E_form (uncorrected)**: -1584 kJ/mol of formula units
**Crystal system**: orthorhombic
**Theoretical density**: 5.211 g cm⁻³

abc: 7.049 7.049 7.049
angles: 119.88 118.85 91.10
Positions (direct):
K1 0.500 0.000 0.000
K2 0.500 0.500 0.500
Ca1 0.000 0.000 0.000
Ca2 0.000 0.000 0.500
Ca3 0.000 0.500 0.000
Ca4 0.500 0.000 0.500
Bi1 0.000 0.500 0.500
Bi2 0.500 0.500 0.000
O1 0.217 0.745 0.472
O2 0.227 0.255 0.972
O3 0.239 0.236 0.497
O4 0.239 0.743 0.003
O5 0.761 0.257 0.997
O6 0.761 0.764 0.503
O7 0.773 0.745 0.028
O8 0.783 0.255 0.528